The following is a PBE+U calculation of a relaxed FeBr2O crystal, from Alexandria via LeMat-Bulk.

Cell: 4.6350 4.6350 4.6350 Å, 60.00 60.00 60.00°
Last column: nearest neighbours and their distance in Å.
Atoms (fractional coordinates):
Fe 0.0000 0.0000 0.0000  8 Br 2.84
Br 0.2500 0.2500 0.2500  4 O 2.84, 4 Fe 2.84
Br 0.7500 0.7500 0.7500  4 O 2.84, 4 Fe 2.84
O 0.5000 0.5000 0.5000  8 Br 2.84

uncorrected energy: -2.835 eV/atom
total magnetization: 3.319 μB per formula unit
space-group type: Fm-3m, No. 225